Below is a relaxed Cd6In4Ga crystal, with properties calculated at the PBE level.

a = 5.049 Å, b = 8.569 Å, c = 25.679 Å
α = 90.00°, β = 90.00°, γ = 90.00°
Space group Cmcm (No. 63)
Inequivalent atoms, fractional coordinates:
Cd (0.000, 0.000, 0.000)
Cd (0.000, 0.058, 0.250)
Cd (0.000, 0.309, 0.601)
Cd (0.000, 0.380, 0.187)
In (0.000, 0.032, 0.133)
In (0.000, 0.343, 0.044)
Ga (0.000, 0.279, 0.750)

Energy of formation from the pure elements ... 0.08 eV per atom
DFT total energy ... -1.6910 eV per atom
Volume ... 25.25 Å³/atom

Below is a relaxed CdIn5Ga crystal, with properties calculated at the PBE level.

a = 4.714 Å, b = 4.714 Å, c = 8.330 Å
α = 90.00°, β = 90.00°, γ = 90.00°
Space group P4/mmm (No. 123)
Inequivalent atoms, fractional coordinates:
Cd (0.000, 0.000, 0.000)
In (0.000, 0.500, 0.283)
In (0.500, 0.500, 0.000)
Ga (0.000, 0.000, 0.500)

Energy of formation from the pure elements ... 0.04 eV per atom
DFT total energy ... -2.4770 eV per atom
Volume ... 26.44 Å³/atom

Below is a relaxed Cd5In4Ga crystal, with properties calculated at the PBE level.

a = 11.139 Å, b = 3.125 Å, c = 14.250 Å
α = 90.00°, β = 97.36°, γ = 90.00°
Space group P2/c (No. 13)
Inequivalent atoms, fractional coordinates:
Cd (0.000, 0.004, 0.250)
Cd (0.093, 0.495, 0.935)
Cd (0.409, 0.015, 0.065)
In (0.198, 0.494, 0.645)
In (0.304, 0.004, 0.349)
Ga (0.500, 0.489, 0.750)

Polymorph energy (0 for the lowest one) ... 0.0000 eV per atom
Energy of formation from the pure elements ... 0.04 eV per atom
DFT total energy ... -1.8142 eV per atom
Volume ... 24.59 Å³/atom

Below is a relaxed CdIn6Ga crystal, with properties calculated at the PBE level.

a = 4.447 Å, b = 4.447 Å, c = 10.436 Å
α = 90.00°, β = 90.00°, γ = 90.00°
Space group P4/mmm (No. 123)
Inequivalent atoms, fractional coordinates:
Cd (0.000, 0.000, 0.000)
In (0.000, 0.500, 0.255)
In (0.500, 0.500, 0.000)
In (0.500, 0.500, 0.500)
Ga (0.000, 0.000, 0.500)

Energy of formation from the pure elements ... 0.03 eV per atom
DFT total energy ... -2.5154 eV per atom
Volume ... 25.80 Å³/atom

Below is a relaxed Cd9InGa2 crystal, with properties calculated at the PBE level.

a = 4.474 Å, b = 4.474 Å, c = 13.456 Å
α = 90.00°, β = 90.00°, γ = 90.00°
Space group P4/mmm (No. 123)
Inequivalent atoms, fractional coordinates:
Cd (0.000, 0.000, 0.000)
Cd (0.000, 0.000, 0.337)
Cd (0.000, 0.500, 0.174)
Cd (0.000, 0.500, 0.500)
In (0.500, 0.500, 0.000)
Ga (0.500, 0.500, 0.336)

Energy of formation from the pure elements ... 0.05 eV per atom
DFT total energy ... -1.3722 eV per atom
Volume ... 22.44 Å³/atom

Below is a relaxed CdInGa4 crystal, with properties calculated at the PBE level.

a = 8.018 Å, b = 8.628 Å, c = 4.444 Å
α = 90.00°, β = 122.01°, γ = 90.00°
Space group C2/m (No. 12)
Inequivalent atoms, fractional coordinates:
Cd (0.000, 0.000, 0.000)
In (0.000, 0.500, 0.500)
Ga (0.217, 0.164, 0.719)

Polymorph energy (0 for the lowest one) ... 0.0151 eV per atom
Energy of formation from the pure elements ... 0.06 eV per atom
DFT total energy ... -2.5635 eV per atom
Volume ... 21.73 Å³/atom

Below is a relaxed Cd3In5Ga12 crystal, with properties calculated at the PBE level.

a = 16.066 Å, b = 16.066 Å, c = 16.066 Å
α = 90.00°, β = 90.00°, γ = 90.00°
Space group Ia-3d (No. 230)
Inequivalent atoms, fractional coordinates:
Cd (0.000, 0.250, 0.125)
In (0.000, 0.000, 0.000)
In (0.000, 0.250, 0.375)
Ga (0.010, 0.082, 0.654)

Energy of formation from the pure elements ... 0.18 eV per atom
DFT total energy ... -2.4592 eV per atom
Volume ... 25.92 Å³/atom

Below is a relaxed Cd12In3Ga crystal, with properties calculated at the PBE level.

a = 4.544 Å, b = 4.544 Å, c = 17.923 Å
α = 90.00°, β = 90.00°, γ = 90.00°
Space group P4/mmm (No. 123)
Inequivalent atoms, fractional coordinates:
Cd (0.000, 0.000, 0.000)
Cd (0.000, 0.000, 0.247)
Cd (0.000, 0.000, 0.500)
Cd (0.000, 0.500, 0.119)
Cd (0.000, 0.500, 0.373)
In (0.500, 0.500, 0.246)
In (0.500, 0.500, 0.500)
Ga (0.500, 0.500, 0.000)

Energy of formation from the pure elements ... 0.04 eV per atom
DFT total energy ... -1.3502 eV per atom
Volume ... 23.13 Å³/atom

For the records above, the corresponding Fermi-level density of states values read 3.923; 2.990; 2.999; 1.748; 5.876; 1.961; 8.016; 7.297 states/eV/f.u..